Entry 1
{"formula": "La2TaCr", "functional": "PBE", "state": "relaxed", "cell": [[5.144, 0.000, 0.000], [0.000, 5.139, 0.000], [0.000, 0.000, 3.856]], "species": ["Cr", "La", "La", "Ta"], "fractional_positions": [[0.000, 0.500, 0.500], [0.000, 0.000, 0.000], [0.500, 0.500, 0.000], [0.500, 0.000, 0.500]], "magnetic_moment_mub_per_cell": 3.1}

Entry 2
{"formula": "La2TaCr", "functional": "PBE", "state": "relaxed", "cell": [[5.901, -0.027, -0.085], [-2.755, 5.374, 0.013], [0.391, 0.955, 3.024]], "species": ["Ta", "La", "La", "Cr"], "fractional_positions": [[0.000, 0.500, 0.500], [0.000, 0.000, 0.000], [0.500, 0.000, 0.500], [0.500, 0.500, 0.000]], "magnetic_moment_mub_per_cell": 3.1}

Energy comparison, zero being the most stable, in meV/atom: entry 1 0; entry 2 98.

Entry 1
{"formula": "La2TaCr", "functional": "PBE", "state": "relaxed", "cell": [[-8.359, -1.257, -5.350], [-6.085, -2.107, -7.656], [-7.158, -4.382, -5.445]], "species": ["Ta", "Cr", "La", "La"], "fractional_positions": [[0.483, 0.483, 0.483], [0.760, 0.760, 0.760], [0.015, 0.015, 0.015], [0.242, 0.242, 0.242]], "magnetic_moment_mub_per_cell": 0.0}

Entry 2
{"formula": "La2TaCr", "functional": "PBE", "state": "relaxed", "cell": [[8.694, 0.040, 0.017], [7.147, 4.951, -0.017], [-7.779, -2.945, 2.531]], "species": ["Cr", "La", "La", "Ta"], "fractional_positions": [[0.250, 0.750, 0.500], [0.097, 0.097, 0.000], [0.403, 0.403, 0.000], [0.750, 0.250, 0.500]], "magnetic_moment_mub_per_cell": 0.7}

Entry 3
{"formula": "La2TaCr", "functional": "PBE", "state": "relaxed", "cell": [[3.248, 0.775, 0.000], [-0.780, 3.247, 0.000], [0.000, 0.000, 9.157]], "species": ["La", "La", "Cr", "Ta"], "fractional_positions": [[0.000, 0.000, 0.503], [0.000, 0.000, 0.997], [0.500, 0.500, 0.750], [0.500, 0.500, 0.250]], "magnetic_moment_mub_per_cell": 4.1}

Energy comparison, zero being the most stable, in meV/atom: entry 1 16; entry 2 0; entry 3 106.